Run P
Computed, not measured: a relaxed Zr2ScIr crystal at the PBEsol level of DFT.

Values from the calculation:
The symmetry is P2/m.

Cell and atoms, written as extended XYZ:
```
4
Lattice="3.1090 0.0000 0.0000 0.0000 4.5000 0.0000 -1.5654 0.0000 5.4809" Properties=species:S:1:pos:R:3 pbc="T T T"
Zr 0.2325 0.0000 1.4814
Zr 1.3112 0.0000 3.9995
Sc 1.5545 2.2500 0.0000
Ir -0.7827 2.2500 2.7405
```


Run Q
Computed, not measured: a relaxed Zr2ScIr crystal at the PBEsol level of DFT.

Values from the calculation:
The symmetry is P4mm.

Cell and atoms, written as extended XYZ:
```
4
Lattice="3.2546 0.0000 0.0000 0.0000 3.2546 0.0000 0.0000 0.0000 7.3778" Properties=species:S:1:pos:R:3 pbc="T T T"
Zr 0.0000 0.0000 0.0000
Zr 1.6273 1.6273 2.0509
Sc 1.6273 1.6273 5.2208
Ir 0.0000 0.0000 3.6310
```


Short version: run Q is the most stable of them.


Run P
Computed, not measured: a relaxed Zr2ScIr crystal at the PBEsol level of DFT.

Values from the calculation:
The symmetry is F-43m.

Cell and atoms, written as extended XYZ:
```
4
Lattice="0.0000 3.3319 3.3319 3.3319 0.0000 3.3319 3.3319 3.3319 0.0000" Properties=species:S:1:pos:R:3 pbc="T T T"
Zr 0.0000 0.0000 0.0000
Zr 1.6659 1.6659 1.6659
Sc 4.9978 4.9978 4.9978
Ir 3.3319 3.3319 3.3319
```


Run Q
Computed, not measured: a relaxed Zr2ScIr crystal at the PBEsol level of DFT.

Values from the calculation:
The symmetry is Imm2.

Cell and atoms, written as extended XYZ:
```
4
Lattice="-1.6784 2.3723 4.8558 1.6784 -2.3723 4.8558 1.6784 2.3723 -4.8558" Properties=species:S:1:pos:R:3 pbc="T T T"
Zr 0.0000 0.0000 0.0000
Zr 0.0000 2.3723 2.1836
Sc 0.0000 0.0000 4.3220
Ir 1.6784 0.0000 2.1529
```


Short version: run Q is the most stable of them.


Run P
Computed, not measured: a relaxed Zr2ScIr crystal at the PBEsol level of DFT.

Values from the calculation:
The symmetry is Pmmm.

Cell and atoms, written as extended XYZ:
```
4
Lattice="3.2515 0.0000 0.0000 0.0000 4.7307 0.0000 0.0000 0.0000 4.8443" Properties=species:S:1:pos:R:3 pbc="T T T"
Zr 0.0000 0.0000 0.0000
Zr 1.6258 2.3653 0.0000
Sc 0.0000 2.3653 2.4221
Ir 1.6258 0.0000 2.4221
```


Run Q
Computed, not measured: a relaxed Zr2ScIr crystal at the PBEsol level of DFT.

Values from the calculation:
The symmetry is Immm.

Cell and atoms, written as extended XYZ:
```
4
Lattice="-1.6877 2.3777 4.8453 1.6877 -2.3777 4.8453 1.6877 2.3777 -4.8453" Properties=species:S:1:pos:R:3 pbc="T T T"
Zr 0.0000 0.0000 2.1481
Zr 0.0000 0.0000 7.5425
Sc 0.0000 2.3777 0.0000
Ir 1.6877 0.0000 0.0000
```


Short version: run Q is the most stable of them.


Run P
Computed, not measured: a relaxed ZrSc2Ir crystal at the PBEsol level of DFT.

Values from the calculation:
The symmetry is Immm.

Cell and atoms, written as extended XYZ:
```
4
Lattice="-1.6643 2.3493 4.9588 1.6643 -2.3493 4.9588 1.6643 2.3493 -4.9588" Properties=species:S:1:pos:R:3 pbc="T T T"
Zr 0.0000 0.0000 0.0000
Sc 1.6643 0.0000 2.8294
Sc 0.0000 2.3493 2.1294
Ir 0.0000 0.0000 4.9588
```


Run Q
Computed, not measured: a relaxed ZrSc2Ir crystal at the PBEsol level of DFT.

Values from the calculation:
The symmetry is F-43m.

Cell and atoms, written as extended XYZ:
```
4
Lattice="0.0000 3.3309 3.3309 3.3309 0.0000 3.3309 3.3309 3.3309 0.0000" Properties=species:S:1:pos:R:3 pbc="T T T"
Zr 0.0000 0.0000 0.0000
Sc 1.6654 1.6654 1.6654
Sc 3.3309 3.3309 3.3309
Ir 4.9963 4.9963 4.9963
```


Run R
Computed, not measured: a relaxed ZrSc2Ir crystal at the PBEsol level of DFT.

Values from the calculation:
The symmetry is Imm2.

Cell and atoms, written as extended XYZ:
```
4
Lattice="-1.6811 2.3774 4.8893 1.6811 -2.3774 4.8893 1.6811 2.3774 -4.8893" Properties=species:S:1:pos:R:3 pbc="T T T"
Zr 0.0000 0.0000 0.0000
Sc 0.0000 0.0000 4.1672
Sc 0.0000 2.3774 2.1005
Ir 1.6811 0.0000 2.0700
```


Run S
Computed, not measured: a relaxed ZrSc2Ir crystal at the PBEsol level of DFT.

Values from the calculation:
The symmetry is P4mm.

Cell and atoms, written as extended XYZ:
```
4
Lattice="3.2885 0.0000 0.0000 0.0000 3.2885 0.0000 0.0000 0.0000 7.4157" Properties=species:S:1:pos:R:3 pbc="T T T"
Zr 0.0000 0.0000 0.0000
Sc 0.0000 0.0000 3.0806
Sc 1.6443 1.6443 5.4235
Ir 1.6443 1.6443 1.6199
```


Short version: run R is the most stable of them.


Run P
Computed, not measured: a relaxed SrIrSe crystal at the PBEsol level of DFT.

Values from the calculation:
The symmetry is F-43m.

Cell and atoms, written as extended XYZ:
```
3
Lattice="0.0000 3.3750 3.3750 3.3750 0.0000 3.3750 3.3750 3.3750 0.0000" Properties=species:S:1:pos:R:3 pbc="T T T"
Sr 0.0000 0.0000 0.0000
Ir 1.6875 1.6875 1.6875
Se 5.0625 5.0625 5.0625
```


Run Q
Computed, not measured: a relaxed SrIrSe crystal at the PBEsol level of DFT.

Values from the calculation:
The symmetry is P-6m2.

Cell and atoms, written as extended XYZ:
```
3
Lattice="4.2133 0.0000 0.0000 -2.1066 3.6488 0.0000 0.0000 0.0000 4.3804" Properties=species:S:1:pos:R:3 pbc="T T T"
Sr 0.0000 0.0000 0.0000
Ir 0.0000 2.4325 2.1902
Se 2.1066 1.2163 2.1902
```


Short version: run Q is the most stable of them.


Run P
Computed, not measured: a relaxed TaIrSe2 crystal at the PBEsol level of DFT.

Values from the calculation:
The symmetry is R-3m.

Cell and atoms, written as extended XYZ:
```
4
Lattice="1.6685 0.9633 8.1048 -1.6685 0.9633 8.1048 0.0000 -1.9266 8.1048" Properties=species:S:1:pos:R:3 pbc="T T T"
Ta 0.0000 0.0000 0.0000
Ir 0.0000 0.0000 12.1572
Se 0.0000 0.0000 2.5229
Se 0.0000 0.0000 21.7915
```


Run Q
Computed, not measured: a relaxed TaIrSe2 crystal at the PBEsol level of DFT.

Values from the calculation:
The symmetry is C2/m.

Cell and atoms, written as extended XYZ:
```
4
Lattice="6.1729 -1.5683 0.0000 6.1729 1.5683 0.0000 -0.5596 0.0000 4.3583" Properties=species:S:1:pos:R:3 pbc="T T T"
Ta 0.0000 0.0000 0.0000
Ir 5.8931 0.0000 2.1792
Se 3.7577 0.0000 3.3977
Se 8.0285 0.0000 0.9606
```


Short version: run Q is the most stable of them.


Run P
Computed, not measured: a relaxed TcIrSe2 crystal at the PBEsol level of DFT.

Values from the calculation:
The symmetry is Cmmm.

Cell and atoms, written as extended XYZ:
```
4
Lattice="2.9801 -4.1024 0.0000 2.9801 4.1024 0.0000 0.0000 0.0000 2.6809" Properties=species:S:1:pos:R:3 pbc="T T T"
Tc 0.0000 0.0000 0.0000
Ir 2.9801 0.0000 0.0000
Se 1.4901 2.0512 0.0000
Se 1.4901 -2.0512 0.0000
```


Run Q
Computed, not measured: a relaxed TcIrSe2 crystal at the PBEsol level of DFT.

Values from the calculation:
The symmetry is I-42d.

Cell and atoms, written as extended XYZ:
```
8
Lattice="-2.7415 2.7415 5.4629 2.7415 -2.7415 5.4629 2.7415 2.7415 -5.4629" Properties=species:S:1:pos:R:3 pbc="T T T"
Tc 0.0000 0.0000 0.0000
Tc 0.0000 2.7415 2.7315
Ir 2.7415 0.0000 2.7315
Ir 0.0000 0.0000 5.4629
Se 4.1122 1.3544 -1.3657
Se 1.3544 1.3707 1.3657
Se -1.3707 1.3871 4.0972
Se 1.3871 1.3707 6.8287
```


Short version: run Q is the most stable of them.


Run P
Computed, not measured: a relaxed TiIrSe2 crystal at the PBEsol level of DFT.

Values from the calculation:
The symmetry is Fm-3m.

Cell and atoms, written as extended XYZ:
```
4
Lattice="0.0000 3.1405 3.1405 3.1405 0.0000 3.1405 3.1405 3.1405 0.0000" Properties=species:S:1:pos:R:3 pbc="T T T"
Ti 0.0000 0.0000 0.0000
Ir 3.1405 3.1405 3.1405
Se 1.5703 1.5703 1.5703
Se 4.7108 4.7108 4.7108
```


Run Q
Computed, not measured: a relaxed TiIrSe2 crystal at the PBEsol level of DFT.

Values from the calculation:
The symmetry is I-42d.

Cell and atoms, written as extended XYZ:
```
8
Lattice="-2.1971 2.1971 7.6014 2.1971 -2.1971 7.6014 2.1971 2.1971 -7.6014" Properties=species:S:1:pos:R:3 pbc="T T T"
Ti 0.0000 0.0000 0.0000
Ti 0.0000 2.1971 3.8007
Ir 2.1971 0.0000 3.8007
Ir 0.0000 0.0000 7.6014
Se 1.0986 -1.0809 5.7010
Se 1.1162 1.0986 1.9003
Se 1.0986 3.2780 -1.9003
Se 1.0809 1.0986 9.5017
```


Short version: run Q is the most stable of them.


Run P
Computed, not measured: a relaxed TlIr2Se crystal at the PBEsol level of DFT.

Values from the calculation:
The symmetry is R-3m.

Cell and atoms, written as extended XYZ:
```
4
Lattice="1.5239 0.8798 8.3261 -1.5239 0.8798 8.3261 0.0000 -1.7597 8.3261" Properties=species:S:1:pos:R:3 pbc="T T T"
Tl 0.0000 0.0000 0.0000
Ir 0.0000 0.0000 6.0658
Ir 0.0000 0.0000 18.9125
Se 0.0000 0.0000 12.4892
```


Run Q
Computed, not measured: a relaxed TlIr2Se crystal at the PBEsol level of DFT.

Values from the calculation:
The symmetry is P4mm.

Cell and atoms, written as extended XYZ:
```
4
Lattice="2.9418 0.0000 0.0000 0.0000 2.9418 0.0000 0.0000 0.0000 8.4577" Properties=species:S:1:pos:R:3 pbc="T T T"
Tl 0.0000 0.0000 0.0000
Ir 0.0000 0.0000 3.9245
Ir 1.4709 1.4709 2.1531
Se 1.4709 1.4709 5.4397
```


Short version: run Q is the most stable of them.


Run P
Computed, not measured: a relaxed IrW2Se crystal at the PBEsol level of DFT.

Values from the calculation:
The symmetry is P2/m.

Cell and atoms, written as extended XYZ:
```
4
Lattice="2.8108 0.0000 0.0000 0.0000 4.1077 0.0000 -1.3782 0.0000 5.3213" Properties=species:S:1:pos:R:3 pbc="T T T"
Ir 0.0000 0.0000 0.0000
W -0.0584 2.0538 3.9950
W 1.4910 2.0538 1.3264
Se -0.6891 0.0000 2.6607
```


Run Q
Computed, not measured: a relaxed IrW2Se crystal at the PBEsol level of DFT.

Values from the calculation:
The symmetry is I-4m2.

Cell and atoms, written as extended XYZ:
```
4
Lattice="-1.9347 1.9347 4.1070 1.9347 -1.9347 4.1070 1.9347 1.9347 -4.1070" Properties=species:S:1:pos:R:3 pbc="T T T"
Ir 0.0000 0.0000 0.0000
W 1.9347 0.0000 2.0535
W 0.0000 0.0000 4.1070
Se 0.0000 1.9347 2.0535
```


Short version: run P is the most stable of them.


Run P
Computed, not measured: a relaxed IrWSe2 crystal at the PBEsol level of DFT.

Values from the calculation:
The symmetry is P4/mmm.

Cell and atoms, written as extended XYZ:
```
4
Lattice="4.3633 0.0000 0.0000 0.0000 4.3633 0.0000 0.0000 0.0000 3.2094" Properties=species:S:1:pos:R:3 pbc="T T T"
Ir 0.0000 0.0000 0.0000
W 2.1817 2.1817 0.0000
Se 0.0000 2.1817 1.6047
Se 2.1817 0.0000 1.6047
```


Run Q
Computed, not measured: a relaxed IrWSe2 crystal at the PBEsol level of DFT.

Values from the calculation:
The symmetry is Immm.

Cell and atoms, written as extended XYZ:
```
4
Lattice="-1.8425 1.9553 5.8183 1.8425 -1.9553 5.8183 1.8425 1.9553 -5.8183" Properties=species:S:1:pos:R:3 pbc="T T T"
Ir 0.0000 0.0000 0.0000
W 0.0000 0.0000 5.8183
Se 1.8425 0.0000 1.7109
Se 0.0000 1.9553 4.1074
```


Short version: run Q is the most stable of them.


Run P
Computed, not measured: a relaxed ZnIr2Se crystal at the PBEsol level of DFT.

Values from the calculation:
The symmetry is Cm.

Cell and atoms, written as extended XYZ:
```
4
Lattice="4.8829 -1.4478 0.0000 4.8829 1.4478 0.0000 -1.8623 0.0000 4.1597" Properties=species:S:1:pos:R:3 pbc="T T T"
Zn 0.0000 0.0000 0.0000
Ir 3.7636 0.0000 2.0687
Ir 7.1414 0.0000 0.2992
Se 1.1151 0.0000 2.4496
```


Run Q
Computed, not measured: a relaxed ZnIr2Se crystal at the PBEsol level of DFT.

Values from the calculation:
The symmetry is Pmmm.

Cell and atoms, written as extended XYZ:
```
4
Lattice="2.8051 0.0000 0.0000 0.0000 4.4408 0.0000 0.0000 0.0000 4.7881" Properties=species:S:1:pos:R:3 pbc="T T T"
Zn 0.0000 0.0000 0.0000
Ir 0.0000 2.2204 2.3940
Ir 1.4025 2.2204 0.0000
Se 1.4025 0.0000 2.3940
```


Short version: run P is the most stable of them.